Density functional theory data (PBE) for crystalline Ca2YMg2 at its relaxed geometry.

Results
calculated formation energy: 0.2151 eV/atom
final energy: -2.516 eV/atom
symmetry: I4/mmm, No. 139
crystal system: tetragonal

abc: 8.107 8.107 8.107
angles: 145.99 145.99 48.86
Fractional positions:
Ca (0.250, 0.750, 0.500)
Ca (0.750, 0.250, 0.500)
Y (0.000, 0.000, 0.000)
Mg (0.407, 0.407, 0.000)
Mg (0.593, 0.593, 0.000)